[1]
Computed, not measured: ThCdBiAu after structural relaxation at the PBE-GGA level of DFT.

Cell lengths 5.296, 5.296, 5.296 Å; angles 60.00, 60.00, 60.00 degrees
Atoms (fractional coordinates):
1 Au 0.000 0.000 0.000
2 Bi 0.500 0.500 0.500
3 Th 0.250 0.250 0.250
4 Cd 0.750 0.750 0.750

Results
**Space-group type**: F-43m
**ΔH_f (0 K)**: -285 meV per atom
**Calculated volume**: 105.02 Å³/cell
**Size of the total moment**: 0.00 μB per cell

---

[2]
Computed, not measured: In2SbIr after structural relaxation at the PBE-GGA level of DFT.

Cell lengths 9.557, 9.557, 9.557 Å; angles 20.02, 20.02, 20.02 degrees
Atoms (fractional coordinates):
1 In 0.513 0.513 0.513
2 Ir 0.250 0.250 0.250
3 In 0.987 0.987 0.987
4 Sb 0.750 0.750 0.750

Results
**Space-group type**: R-3m
**Formation energy (no corrections)**: 0.18 eV/atom
**Calculated volume**: 89.47 Å³/cell
**Size of the total moment**: 0.00 μB per cell

---

[3]
Computed, not measured: Cs2NaRh after structural relaxation at the PBE-GGA level of DFT.

Cell lengths 9.053, 9.053, 9.017 Å; angles 59.87, 59.87, 90.00 degrees
Atoms (fractional coordinates):
1 Cs 0.904 0.625 0.250
2 Rh 0.000 0.000 0.000
3 Cs 0.875 0.096 0.750
4 Rh 0.750 0.250 0.500
5 Cs 0.375 0.154 0.750
6 Cs 0.846 0.125 0.250
7 Na 0.500 0.500 0.000
8 Na 0.250 0.750 0.500

Results
**Space-group type**: I-42d
**ΔH_f (0 K)**: 626 meV per atom
**Calculated volume**: 520.44 Å³/cell
**Size of the total moment**: 0.00 μB per cell